Computed, not measured: a geometry-optimized CaIn2Cl6 structure at the PBE-GGA level of DFT.

* VASP energy: -61.24 eV for the cell shown
* DOS at the Fermi energy: 4.0 states/eV/cell
* magnetic moment: 0.000 μB/cell
* theoretical density: 2.457 g/cm3
* E_form (uncorrected): -1164 kJ/mol of formula units

abc: 9.1019 9.1019 8.5696
angles: 106.13 106.13 90.62
Closest atoms and distances in Å follow each position.
Atoms (fractional coordinates):
Ca 0.0648 0.9352 0.7500  6 Cl 2.71-2.91
Ca 0.9352 0.0648 0.2500  6 Cl 2.71-2.91
In 0.2194 0.4311 0.7488  4 Cl 2.58-2.67
In 0.4311 0.2194 0.2488  4 Cl 2.58-2.67
In 0.5689 0.7806 0.7512  4 Cl 2.58-2.67
In 0.7806 0.5689 0.2512  4 Cl 2.58-2.67
Cl 0.0104 0.1884 0.6171  1 In 2.67, 2 Ca 2.83-2.91
Cl 0.0268 0.6381 0.7439  1 In 2.59, 1 Ca 2.71
Cl 0.1884 0.0104 0.1171  1 In 2.67, 2 Ca 2.83-2.91
Cl 0.3489 0.3739 0.0321  2 In 2.58-2.59
Cl 0.3619 0.9732 0.7561  1 In 2.59, 1 Ca 2.71
Cl 0.3739 0.3489 0.5321  2 In 2.58-2.59
Cl 0.6261 0.6511 0.4679  2 In 2.58-2.59
Cl 0.6381 0.0268 0.2439  1 In 2.59, 1 Ca 2.71
Cl 0.6511 0.6261 0.9679  2 In 2.58-2.59
Cl 0.8116 0.9896 0.8829  1 In 2.67, 2 Ca 2.83-2.91
Cl 0.9732 0.3619 0.2561  1 In 2.59, 1 Ca 2.71
Cl 0.9896 0.8116 0.3829  1 In 2.67, 2 Ca 2.83-2.91